i | The following is a PBE-GGA calculation of CoReS3 after structural relaxation, from the Alexandria database.

Calculated density in kg/m³: 7255
Calculated volume in Å³ per atom: 15.625
N(E_F) in states/eV/cell: 4.5
Magnetic moment in μB/f.u.: 1.3

Lattice parameters (Å, degrees): 4.275 4.275 4.275 90.00 90.00 90.00
Space group Pm-3m (No. 221)
Inequivalent atoms, fractional coordinates:
Co: 0.000 0.000 0.000 [1 per cell]
Re: 0.500 0.500 0.500 [1 per cell]
S: 0.000 0.000 0.500 [3 per cell]

***

ii | The following is a PBE-GGA calculation of CoReS3 after structural relaxation, from the Alexandria database.

Calculated density in kg/m³: 5762
Calculated volume in Å³ per atom: 19.672
N(E_F) in states/eV/cell: 10.2
Magnetic moment in μB/f.u.: 2.3

Lattice parameters (Å, degrees): 4.616 4.616 4.616 90.00 90.00 90.00
Space group Pm-3m (No. 221)
Inequivalent atoms, fractional coordinates:
Co: 0.000 0.000 0.000 [1 per cell]
Re: 0.500 0.500 0.500 [1 per cell]
S: 0.000 0.500 0.500 [3 per cell]

***

Which of them is the least stable? Correct choice: i.

***

i | The following is a PBE-GGA calculation of CoReSb after structural relaxation, from the Alexandria database.

Calculated density in kg/m³: 11944
Calculated volume in Å³ per atom: 17.004
N(E_F) in states/eV/cell: 12.0
Magnetic moment in μB/f.u.: 2.3

Lattice parameters (Å, degrees): 5.887 5.887 5.887 90.00 90.00 90.00
Space group F-43m (No. 216)
Inequivalent atoms, fractional coordinates:
Co: 0.000 0.000 0.000 [4 per cell]
Re: 0.250 0.250 0.250 [4 per cell]
Sb: 0.250 0.250 0.750 [4 per cell]

***

ii | The following is a PBE-GGA calculation of CoReSb after structural relaxation, from the Alexandria database.

Calculated density in kg/m³: 13120
Calculated volume in Å³ per atom: 15.479
N(E_F) in states/eV/cell: 2.7
Magnetic moment in μB/f.u.: 1.7

Lattice parameters (Å, degrees): 4.2859 4.2859 2.9190 90.00 90.00 120.00
Space group P-6m2 (No. 187)
Inequivalent atoms, fractional coordinates:
Co: 0.0000 0.0000 0.0000 [1 per cell]
Re: 0.6667 0.3333 0.5000 [1 per cell]
Sb: 0.3333 0.6667 0.0000 [1 per cell]

***

Which of them is the least stable? Correct choice: ii.

***

i | The following is a PBE-GGA calculation of CoReSbTe2 after structural relaxation, from the Alexandria database.

Calculated density in kg/m³: 7419
Calculated volume in Å³ per atom: 27.846
N(E_F) in states/eV/cell: 8.8
Magnetic moment in μB/f.u.: 0.1

Lattice parameters (Å, degrees): 5.213 5.213 5.124 90.00 90.00 90.00
Space group P4/mmm (No. 123)
Inequivalent atoms, fractional coordinates:
Co: 0.000 0.000 0.000 [1 per cell]
Re: 0.500 0.500 0.500 [1 per cell]
Sb: 0.500 0.500 0.000 [1 per cell]
Te: 0.000 0.500 0.500 [2 per cell]

***

ii | The following is a PBE-GGA calculation of CoReSbTe2 after structural relaxation, from the Alexandria database.

Calculated density in kg/m³: 8933
Calculated volume in Å³ per atom: 23.128
N(E_F) in states/eV/cell: 4.9
Magnetic moment in μB/f.u.: 1.9

Lattice parameters (Å, degrees): 4.936 4.936 4.747 90.00 90.00 90.00
Space group P4/mmm (No. 123)
Inequivalent atoms, fractional coordinates:
Co: 0.000 0.000 0.000 [1 per cell]
Re: 0.500 0.500 0.500 [1 per cell]
Sb: 0.000 0.000 0.500 [1 per cell]
Te: 0.000 0.500 0.000 [2 per cell]

***

Which of them is the least stable? Correct choice: i.

***

i | The following is a PBE-GGA calculation of CoReSb2Te after structural relaxation, from the Alexandria database.

Calculated density in kg/m³: 7267
Calculated volume in Å³ per atom: 28.163
N(E_F) in states/eV/cell: 7.2
Magnetic moment in μB/f.u.: 1.5

Lattice parameters (Å, degrees): 5.123 5.123 5.364 90.00 90.00 90.00
Space group P4/mmm (No. 123)
Inequivalent atoms, fractional coordinates:
Co: 0.000 0.000 0.000 [1 per cell]
Re: 0.500 0.500 0.500 [1 per cell]
Sb: 0.000 0.500 0.500 [2 per cell]
Te: 0.500 0.500 0.000 [1 per cell]

***

ii | The following is a PBE-GGA calculation of CoReSb2Te after structural relaxation, from the Alexandria database.

Calculated density in kg/m³: 8896
Calculated volume in Å³ per atom: 23.007
N(E_F) in states/eV/cell: 4.7
Magnetic moment in μB/f.u.: 2.1

Lattice parameters (Å, degrees): 4.789 4.789 5.016 90.00 90.00 90.00
Space group P4/mmm (No. 123)
Inequivalent atoms, fractional coordinates:
Co: 0.000 0.000 0.000 [1 per cell]
Re: 0.500 0.500 0.500 [1 per cell]
Sb: 0.000 0.500 0.000 [2 per cell]
Te: 0.000 0.000 0.500 [1 per cell]

***

Which of them is the least stable? Correct choice: i.

***

i | The following is a PBE-GGA calculation of ScCoRe after structural relaxation, from the Alexandria database.

Calculated density in kg/m³: 9555
Calculated volume in Å³ per atom: 16.806
N(E_F) in states/eV/cell: 17.6
Magnetic moment in μB/f.u.: 0.5

Lattice parameters (Å, degrees): 5.864 5.864 5.864 90.00 90.00 90.00
Space group F-43m (No. 216)
Inequivalent atoms, fractional coordinates:
Sc: 0.000 0.000 0.000 [4 per cell]
Co: 0.250 0.250 0.750 [4 per cell]
Re: 0.000 0.000 0.500 [4 per cell]

***

ii | The following is a PBE-GGA calculation of ScCoRe after structural relaxation, from the Alexandria database.

Calculated density in kg/m³: 10488
Calculated volume in Å³ per atom: 15.310
N(E_F) in states/eV/cell: 3.8
Magnetic moment in μB/f.u.: 0.0

Lattice parameters (Å, degrees): 4.3655 4.3655 2.7829 90.00 90.00 120.00
Space group P-6m2 (No. 187)
Inequivalent atoms, fractional coordinates:
Sc: 0.0000 0.0000 0.0000 [1 per cell]
Co: 0.3333 0.6667 0.5000 [1 per cell]
Re: 0.6667 0.3333 0.5000 [1 per cell]

***

iii | The following is a PBE-GGA calculation of ScCoRe after structural relaxation, from the Alexandria database.

Calculated density in kg/m³: 10476
Calculated volume in Å³ per atom: 15.328
N(E_F) in states/eV/cell: 2.9
Magnetic moment in μB/f.u.: 0.8

Lattice parameters (Å, degrees): 2.8510 2.8510 6.5326 90.00 90.00 120.00
Space group P3m1 (No. 156)
Inequivalent atoms, fractional coordinates:
Sc: 0.0000 0.0000 0.0000 [1 per cell]
Co: 0.6667 0.3333 0.3307 [1 per cell]
Re: 0.3333 0.6667 0.6312 [1 per cell]

***

Which of them is the least stable? Correct choice: i.

***

i | The following is a PBE-GGA calculation of ScCoRe after structural relaxation, from the Alexandria database.

Calculated density in kg/m³: 8844
Calculated volume in Å³ per atom: 18.157
N(E_F) in states/eV/cell: 11.7
Magnetic moment in μB/f.u.: 2.9

Lattice parameters (Å, degrees): 6.017 6.017 6.017 90.00 90.00 90.00
Space group F-43m (No. 216)
Inequivalent atoms, fractional coordinates:
Sc: 0.000 0.000 0.000 [4 per cell]
Co: 0.250 0.250 0.250 [4 per cell]
Re: 0.250 0.250 0.750 [4 per cell]

***

ii | The following is a PBE-GGA calculation of ScCoRe after structural relaxation, from the Alexandria database.

Calculated density in kg/m³: 10621
Calculated volume in Å³ per atom: 15.119
N(E_F) in states/eV/cell: 6.4
Magnetic moment in μB/f.u.: 0.0

Lattice parameters (Å, degrees): 2.805 2.805 11.525 90.00 90.00 90.00
Space group I4mm (No. 107)
Inequivalent atoms, fractional coordinates:
Sc: 0.000 0.000 0.000 [2 per cell]
Co: 0.000 0.000 0.673 [2 per cell]
Re: 0.000 0.000 0.305 [2 per cell]

***

iii | The following is a PBE-GGA calculation of ScCoRe after structural relaxation, from the Alexandria database.

Calculated density in kg/m³: 10371
Calculated volume in Å³ per atom: 15.483
N(E_F) in states/eV/cell: 14.3
Magnetic moment in μB/f.u.: 0.2

Lattice parameters (Å, degrees): 5.010 5.125 7.236 90.00 90.00 90.00
Space group Imma (No. 74)
Inequivalent atoms, fractional coordinates:
Sc: 0.000 0.250 0.124 [4 per cell]
Co: 0.000 0.000 0.500 [4 per cell]
Re: 0.250 0.250 0.750 [4 per cell]

***

Which of them is the least stable? Correct choice: i.

***

i | The following is a PBE-GGA calculation of CoReSe after structural relaxation, from the Alexandria database.

Calculated density in kg/m³: 12521
Calculated volume in Å³ per atom: 14.328
N(E_F) in states/eV/cell: 2.7
Magnetic moment in μB/f.u.: 0.9

Lattice parameters (Å, degrees): 2.9005 2.9005 5.8998 90.00 90.00 120.00
Space group P3m1 (No. 156)
Inequivalent atoms, fractional coordinates:
Co: 0.0000 0.0000 0.0000 [1 per cell]
Re: 0.6667 0.3333 0.3293 [1 per cell]
Se: 0.3333 0.6667 0.6691 [1 per cell]

***

ii | The following is a PBE-GGA calculation of CoReSe after structural relaxation, from the Alexandria database.

Calculated density in kg/m³: 12651
Calculated volume in Å³ per atom: 14.180
N(E_F) in states/eV/cell: 5.7
Magnetic moment in μB/f.u.: 1.1

Lattice parameters (Å, degrees): 2.949 2.949 9.782 90.00 90.00 90.00
Space group I4mm (No. 107)
Inequivalent atoms, fractional coordinates:
Co: 0.000 0.000 0.000 [2 per cell]
Re: 0.000 0.000 0.339 [2 per cell]
Se: 0.000 0.000 0.674 [2 per cell]

***

Which of them is the least stable? Correct choice: ii.

***

i | The following is a PBE-GGA calculation of CoReSe after structural relaxation, from the Alexandria database.

Calculated density in kg/m³: 12227
Calculated volume in Å³ per atom: 14.672
N(E_F) in states/eV/cell: 11.4
Magnetic moment in μB/f.u.: 0.1

Lattice parameters (Å, degrees): 11.285 3.002 5.197 90.00 90.00 90.00
Space group Amm2 (No. 38)
Inequivalent atoms, fractional coordinates:
Co: 0.000 0.000 0.000 [2 per cell]
Co: 0.500 0.000 0.325 [2 per cell]
Re: 0.171 0.000 0.333 [4 per cell]
Se: 0.334 0.000 0.999 [4 per cell]

***

ii | The following is a PBE-GGA calculation of CoReSe after structural relaxation, from the Alexandria database.

Calculated density in kg/m³: 11055
Calculated volume in Å³ per atom: 16.227
N(E_F) in states/eV/cell: 14.8
Magnetic moment in μB/f.u.: 0.7

Lattice parameters (Å, degrees): 5.796 5.796 5.796 90.00 90.00 90.00
Space group F-43m (No. 216)
Inequivalent atoms, fractional coordinates:
Co: 0.000 0.000 0.000 [4 per cell]
Re: 0.250 0.250 0.250 [4 per cell]
Se: 0.000 0.000 0.500 [4 per cell]

***

Which of them is the least stable? Correct choice: ii.